# 1
BaIn2Hg9 | Alexandria via LeMat-Bulk | GGA-PBE | relaxed; mass density = 10.5 g cm⁻³; ΔE_f = -124 meV per atom; polymorph energy (0 for the lowest one) = 0.014 eV per atom; total magnetization = 0.00 μB per formula unit
1.0
-2.0695 0.9332 -3.0547
-8.5457 -1.9194 5.2032
4.0436 9.3500 0.1170
Ba Hg In
1 9 2
Cartesian
0.0000 0.0000 0.0000
-7.3193 0.5713 2.7623
2.0218 4.6750 0.0585
0.7476 7.7925 -0.4969
-5.4545 4.8832 2.8162
-3.3783 1.4565 0.3628
-3.1933 6.9073 1.9027
-2.2511 3.7153 2.6601
-4.2729 -0.9597 2.6016
-1.1171 3.4806 -0.5508
-4.3493 1.8370 3.5078
-0.1528 5.5935 1.8124

# 2
BeAlPb3 | Alexandria via LeMat-Bulk | GGA-PBE | relaxed; mass density = 8.1 g cm⁻³; ΔE_f = 517 meV per atom; polymorph energy (0 for the lowest one) = 0.000 eV per atom; total magnetization = 0.00 μB per formula unit
1.0
5.1226 0.0000 0.0000
0.0000 5.1226 0.0000
0.0000 0.0000 5.1226
Be Pb Al
1 3 1
Cartesian
0.0000 0.0000 0.0000
0.0000 2.5613 0.0000
2.5613 0.0000 0.0000
0.0000 0.0000 2.5613
2.5613 2.5613 2.5613

# 3
Na2PmCu9 | Alexandria via LeMat-Bulk | GGA-PBE | relaxed; mass density = 6.7 g cm⁻³; ΔE_f = -36 meV per atom; total magnetization = 0.00 μB per formula unit
1.0
4.8708 0.0000 1.4496
2.2197 4.3357 1.4496
0.0034 0.0021 8.8967
Cu Pm Na
9 1 2
Cartesian
3.0156 0.3693 7.6832
1.7030 2.5160 7.6832
2.9793 1.8217 3.3950
5.3909 1.8217 4.1127
3.5470 2.1689 5.8980
4.1146 2.5160 8.4009
4.7401 2.8984 10.7968
2.3538 1.4393 0.9991
4.0783 3.9684 4.1127
0.0000 0.0000 0.0000
6.0557 3.7029 6.3765
1.0382 0.6348 5.4195

# 4
AsHIr | Alexandria via LeMat-Bulk | GGA-PBE | relaxed; mass density = 11.3 g cm⁻³; calculated total energy = -5.56 eV per atom; total magnetization = 0.00 μB per formula unit
1.0
-2.5824 -4.9043 4.3228
2.6050 1.6481 3.4260
-3.5805 3.0113 1.2774
As H Ir
4 4 4
Cartesian
-3.0458 -1.2924 4.4887
-3.2382 0.7884 6.7367
-0.1517 1.7320 3.9341
0.0398 -0.3507 1.6878
-2.1145 2.7127 4.9543
-1.6228 -1.2385 6.4792
-2.0624 0.7519 2.7600
-1.5712 -3.2000 4.2856
-1.4574 1.8541 1.7687
-1.5482 3.8486 3.9782
-0.9611 -2.1020 3.2926
-1.0514 -0.1067 5.5014

# 5
Mn2CuOs | Alexandria via LeMat-Bulk | GGA-PBE | relaxed; mass density = 12.2 g cm⁻³; ΔE_f = 246 meV per atom; total magnetization = 3.41 μB per formula unit
1.0
-2.2572 -2.6606 -1.2411
1.5515 0.2491 -3.3557
2.4233 -2.4923 0.9354
Cu Mn Os
1 2 1
Cartesian
1.9874 -1.1216 -1.2102
-0.3528 -1.2057 -2.2984
0.0000 0.0000 0.0000
0.0830 -2.5764 -0.1528

# 6
Tl2PSCl5 | Alexandria via LeMat-Bulk | GGA-PBE | relaxed; mass density = 4.5 g cm⁻³; formation energy (no corrections) = -0.583 eV/atom; total magnetization = 0.00 μB per formula unit
1.0
7.0763 -0.2552 -0.3704
-3.5846 6.1066 0.3704
-3.5846 -1.8284 5.8382
S Cl Tl P
1 5 2 1
Cartesian
-5.6201 3.3538 4.8671
-3.6148 4.2959 1.6566
-3.6148 0.0183 4.6042
-1.5000 0.8951 1.2990
1.5792 0.8863 1.2862
-1.7325 3.1726 4.6042
-0.0765 4.0132 1.5782
-0.0765 0.0457 4.3121
-7.0377 4.1997 6.0947

> Which of these has the highest mass density?

Mn2CuOs